1.
VASP calculation (PBE) on a relaxed BeP2Cl crystal.

The structure belongs to space group Pm (No. 6); the cell edges are 3.870, 3.203 and 7.525 Å and the angles 90.00°, 104.08° and 90.00°. The inequivalent atoms are Be at (0.000, 0.000, 0.000), P at (0.134, 0.000, 0.294), P at (0.470, 0.500, 0.229) and Cl at (0.870, 0.500, 0.828).

The value obtained for the uncorrected formation energy is -0.25 eV per atom. The value obtained for the energy relative to the lowest polymorph listed for this composition is 0.136 eV per atom. The total DFT energy (no corrections) comes out at -17.387 eV per cell. For the total moment, the calculation gives 0.000 μB per formula unit. The calculated volume is 90.5 Å³/cell.

=====

2.
VASP calculation (PBE) on a relaxed La5Ag4Rh crystal.

The structure belongs to space group P4/mmm (No. 123); the cell edges are 3.740, 3.740 and 19.235 Å and the angles 90.00°, 90.00° and 90.00°. The inequivalent atoms are La at (0.000, 0.000, 0.000), La at (0.000, 0.000, 0.206), La at (0.000, 0.000, 0.414), Ag at (0.500, 0.500, 0.103), Ag at (0.500, 0.500, 0.306) and Rh at (0.500, 0.500, 0.500).

The calculation puts the formation energy at -0.346 eV per atom. The total DFT energy (no corrections) comes out at -46.858 eV per cell. For the total moment, the calculation gives 0.000 μB per formula unit. The calculated volume is 269.0 Å³/cell.

=====

3.
VASP calculation (PBE) on a relaxed ZnSnPb2N crystal.

The structure belongs to space group P4/mmm (No. 123); the cell edges are 5.633, 5.633 and 3.726 Å and the angles 90.00°, 90.00° and 90.00°. The inequivalent atoms are Zn at (0.000, 0.000, 0.000), Sn at (0.500, 0.500, 0.000), Pb at (0.000, 0.500, 0.500) and N at (0.000, 0.000, 0.500).

The value obtained for the uncorrected formation energy is 0.27 eV per atom. The total DFT energy (no corrections) comes out at -19.684 eV per cell. For the total moment, the calculation gives 0.000 μB per formula unit. The calculated volume is 118.3 Å³/cell.

=====

4.
VASP calculation (PBE) on a relaxed VIr2Rh crystal.

The structure belongs to space group Fm-3m (No. 225); the cell edges are 6.131, 6.131 and 6.131 Å and the angles 90.00°, 90.00° and 90.00°. The inequivalent atoms are V at (0.000, 0.000, 0.000), Ir at (0.250, 0.250, 0.250) and Rh at (0.000, 0.000, 0.500).

The calculation puts the formation energy at 0.036 eV per atom. The value obtained for the energy relative to the lowest polymorph listed for this composition is 0.486 eV per atom. The total DFT energy (no corrections) comes out at -136.194 eV per cell. For the total moment, the calculation gives 0.001 μB per formula unit. The calculated volume is 230.5 Å³/cell.

=====

5.
VASP calculation (PBE) on a relaxed MgBeIn2 crystal.

The structure belongs to space group Cmmm (No. 65); the cell edges are 6.149, 8.463 and 3.136 Å and the angles 90.00°, 90.00° and 90.00°. The inequivalent atoms are Mg at (0.000, 0.000, 0.000), Be at (0.000, 0.500, 0.000) and In at (0.250, 0.250, 0.500).

The calculation puts the formation energy at 0.330 eV per atom. The value obtained for the energy relative to the lowest polymorph listed for this composition is 0.101 eV per atom. The total DFT energy (no corrections) comes out at -18.958 eV per cell. For the total moment, the calculation gives 0.000 μB per formula unit. The calculated volume is 163.2 Å³/cell.

=====

6.
VASP calculation (PBE) on a relaxed PrPaCu10 crystal.

The structure belongs to space group Pmmm (No. 47); the cell edges are 4.110, 5.106 and 8.784 Å and the angles 90.00°, 90.00° and 90.00°. The inequivalent atoms are Pr at (0.000, 0.000, 0.000), Pa at (0.000, 0.500, 0.500), Cu at (0.000, 0.000, 0.338), Cu at (0.000, 0.500, 0.173), Cu at (0.500, 0.000, 0.500), Cu at (0.500, 0.255, 0.258) and Cu at (0.500, 0.500, 0.000).

The calculation puts the formation energy at -0.067 eV per atom. The total DFT energy (no corrections) comes out at -56.046 eV per cell. For the total moment, the calculation gives 0.604 μB per formula unit. The calculated volume is 184.3 Å³/cell.

=====

7.
VASP calculation (PBE) on a relaxed SrBe3Sn crystal.

The structure belongs to space group Pm-3m (No. 221); the cell edges are 4.788, 4.788 and 4.788 Å and the angles 90.00°, 90.00° and 90.00°. The inequivalent atoms are Sr at (0.000, 0.000, 0.000), Be at (0.000, 0.500, 0.500) and Sn at (0.500, 0.500, 0.500).

The calculation puts the formation energy at 0.810 eV per atom. The value obtained for the energy relative to the lowest polymorph listed for this composition is 0.000 eV per atom. The total DFT energy (no corrections) comes out at -12.813 eV per cell. For the total moment, the calculation gives 0.000 μB per formula unit. The calculated volume is 109.8 Å³/cell.

=====

8.
VASP calculation (PBE) on a relaxed Zr2CoCu crystal.

The structure belongs to space group R-3m (No. 166, hexagonal axes); the cell edges are 3.4358, 3.4358 and 21.5474 Å and the angles 90.00°, 90.00° and 120.00°. The inequivalent atoms are Zr at (0.0000, 0.0000, 0.2421), Co at (0.0000, 0.0000, 0.5000) and Cu at (0.0000, 0.0000, 0.0000).

The calculation puts the formation energy at 0.030 eV per atom. The total DFT energy (no corrections) comes out at -84.541 eV per cell. For the total moment, the calculation gives 0.000 μB per formula unit. The calculated volume is 220.3 Å³/cell.

=====

9.
VASP calculation (PBE) on a relaxed RbCaAl2 crystal.

The structure belongs to space group I-42d (No. 122); the cell edges are 9.157, 9.157 and 6.510 Å and the angles 90.00°, 90.00° and 90.00°. The inequivalent atoms are Rb at (0.000, 0.000, 0.000), Ca at (0.000, 0.000, 0.500) and Al at (0.222, 0.250, 0.625).

The calculation puts the formation energy at 0.572 eV per atom. The value obtained for the energy relative to the lowest polymorph listed for this composition is 0.215 eV per atom. The total DFT energy (no corrections) comes out at -32.666 eV per cell. For the total moment, the calculation gives 0.000 μB per formula unit. The calculated volume is 545.9 Å³/cell.

=====

10.
VASP calculation (PBE) on a relaxed AlCu2Te crystal.

The structure belongs to space group R-3m (No. 166, hexagonal axes); the cell edges are 3.1856, 3.1856 and 23.9673 Å and the angles 90.00°, 90.00° and 120.00°. The inequivalent atoms are Al at (0.0000, 0.0000, 0.0000), Cu at (0.0000, 0.0000, 0.2582) and Te at (0.0000, 0.0000, 0.5000).

The value obtained for the uncorrected formation energy is 0.19 eV per atom. The value obtained for the energy relative to the lowest polymorph listed for this composition is 0.143 eV per atom. The total DFT energy (no corrections) comes out at -42.894 eV per cell. For the total moment, the calculation gives 0.000 μB per formula unit. The calculated volume is 210.6 Å³/cell.

=====

11.
VASP calculation (PBE) on a relaxed BaUTlBr6 crystal.

The structure belongs to space group P-31c (No. 163); the cell edges are 8.0873, 8.0873 and 13.8003 Å and the angles 90.00°, 90.00° and 120.00°. The inequivalent atoms are Ba at (0.3333, 0.6667, 0.2500), U at (0.3333, 0.6667, 0.7500), Tl at (0.0000, 0.0000, 0.0000) and Br at (0.0312, 0.3736, 0.6303).

The value obtained for the uncorrected formation energy is -1.48 eV per atom. The total DFT energy (no corrections) comes out at -77.881 eV per cell. For the total moment, the calculation gives 3.000 μB per formula unit. The calculated volume is 781.7 Å³/cell.

=====

12.
VASP calculation (PBE) on a relaxed Dy2NiHPt6 crystal.

The structure belongs to space group R-3m (No. 166, hexagonal axes); the cell edges are 5.5601, 5.5601 and 18.5920 Å and the angles 90.00°, 90.00° and 120.00°. The inequivalent atoms are Dy at (0.0000, 0.0000, 0.2103), Ni at (0.0000, 0.0000, 0.5000), H at (0.0000, 0.0000, 0.0000) and Pt at (0.0041, 0.5021, 0.2694).

The total DFT energy (no corrections) comes out at -185.583 eV per cell. For the total moment, the calculation gives 0.000 μB per formula unit. The calculated volume is 497.8 Å³/cell.